# 1
This record from Alexandria via LeMat-Bulk describes crystalline Rb2AuI6 at its relaxed geometry. The functional is GGA-PBE.

- Formation energy from raw total energies: -0.6798 eV per atom

Geometry as CIF:
```
data_Rb2AuI6
_cell_length_a 6.0726
_cell_length_b 11.9114
_cell_length_c 8.8580
_cell_angle_alpha 131.76
_cell_angle_beta 96.85
_cell_angle_gamma 75.65
_space_group_name_H-M_alt 'P 1'
_space_group_IT_number 1
_space_group_name_Hall 'P 1'
loop_
_atom_site_label
_atom_site_type_symbol
_atom_site_fract_x
_atom_site_fract_y
_atom_site_fract_z
Rb1 Rb 0.3943 0.3379 0.5914
Rb2 Rb 0.6057 0.6621 0.4086
Au1 Au 0.0000 0.0000 0.0000
I1 I 0.0239 0.9117 0.6352
I2 I 0.8099 0.5898 0.9627
I3 I 0.6005 0.2338 0.1147
I4 I 0.1901 0.4102 0.0372
I5 I 0.9761 0.0883 0.3647
I6 I 0.3995 0.7662 0.8852
```

---

# 2
This record from Alexandria via LeMat-Bulk describes crystalline RbAu3I at its relaxed geometry. The functional is GGA-PBE.

- Formation energy from raw total energies: 0.2672 eV per atom

Geometry as CIF:
```
data_RbAu3I
_cell_length_a 5.6467
_cell_length_b 5.6467
_cell_length_c 5.6467
_cell_angle_alpha 90.00
_cell_angle_beta 90.00
_cell_angle_gamma 90.00
_space_group_name_H-M_alt 'P 1'
_space_group_IT_number 1
_space_group_name_Hall 'P 1'
loop_
_atom_site_label
_atom_site_type_symbol
_atom_site_fract_x
_atom_site_fract_y
_atom_site_fract_z
I1 I 0.0000 0.0000 0.0000
Au1 Au 0.0000 0.5000 0.0000
Au2 Au 0.0000 0.0000 0.5000
Au3 Au 0.5000 0.0000 0.0000
Rb1 Rb 0.5000 0.5000 0.5000
```

---

# 3
This record from Alexandria via LeMat-Bulk describes crystalline RbAu2I2 at its relaxed geometry. The functional is GGA-PBE.

- Formation energy from raw total energies: -0.2400 eV per atom

Geometry as CIF:
```
data_RbAu2I2
_cell_length_a 4.1467
_cell_length_b 4.1467
_cell_length_c 9.7369
_cell_angle_alpha 77.71
_cell_angle_beta 77.71
_cell_angle_gamma 90.00
_space_group_name_H-M_alt 'P 1'
_space_group_IT_number 1
_space_group_name_Hall 'P 1'
loop_
_atom_site_label
_atom_site_type_symbol
_atom_site_fract_x
_atom_site_fract_y
_atom_site_fract_z
I1 I 0.3843 0.3843 0.2314
I2 I 0.6157 0.6157 0.7686
Au1 Au 0.7500 0.2500 0.5000
Au2 Au 0.2500 0.7500 0.5000
Rb1 Rb 0.0000 0.0000 0.0000
```

---

# 4
This record from Alexandria via LeMat-Bulk describes crystalline RbAuI2 at its relaxed geometry. The functional is GGA-PBE.

- Formation energy from raw total energies: -0.7790 eV per atom

Geometry as CIF:
```
data_RbAuI2
_cell_length_a 6.5153
_cell_length_b 7.7490
_cell_length_c 9.5294
_cell_angle_alpha 81.26
_cell_angle_beta 90.00
_cell_angle_gamma 114.86
_space_group_name_H-M_alt 'P 1'
_space_group_IT_number 1
_space_group_name_Hall 'P 1'
loop_
_atom_site_label
_atom_site_type_symbol
_atom_site_fract_x
_atom_site_fract_y
_atom_site_fract_z
Rb1 Rb 0.7503 0.5007 0.2502
Rb2 Rb 0.2497 0.4993 0.7498
Au1 Au 0.0000 0.0000 0.0000
Au2 Au 0.5000 0.0000 0.5000
I1 I 0.3596 0.7191 0.3571
I2 I 0.6404 0.2809 0.6429
I3 I 0.8594 0.7189 0.8572
I4 I 0.1406 0.2811 0.1428
```

---

# 5
This record from Alexandria via LeMat-Bulk describes crystalline Rb5Au2I2 at its relaxed geometry. The functional is GGA-PBE.

- Formation energy from raw total energies: -0.7755 eV per atom

Geometry as CIF:
```
data_Rb5Au2I2
_cell_length_a 9.4076
_cell_length_b 9.4264
_cell_length_c 10.3798
_cell_angle_alpha 90.00
_cell_angle_beta 63.05
_cell_angle_gamma 90.00
_space_group_name_H-M_alt 'P 1'
_space_group_IT_number 1
_space_group_name_Hall 'P 1'
loop_
_atom_site_label
_atom_site_type_symbol
_atom_site_fract_x
_atom_site_fract_y
_atom_site_fract_z
Rb1 Rb 0.0000 0.0000 0.0000
Rb2 Rb 0.5000 0.5000 0.0000
Rb3 Rb 0.4590 0.1687 0.7421
Rb4 Rb 0.7989 0.8313 0.7421
Rb5 Rb 0.2989 0.6687 0.7421
Rb6 Rb 0.9590 0.3313 0.7421
Rb7 Rb 0.5410 0.8313 0.2579
Rb8 Rb 0.2011 0.1687 0.2579
Rb9 Rb 0.7011 0.3313 0.2579
Rb10 Rb 0.0410 0.6687 0.2579
Au1 Au 0.1116 0.3881 0.0000
Au2 Au 0.8884 0.6119 0.0000
Au3 Au 0.3884 0.8881 0.0000
Au4 Au 0.6116 0.1119 0.0000
I1 I 0.2043 0.0000 0.5913
I2 I 0.7043 0.5000 0.5913
I3 I 0.7957 0.0000 0.4087
I4 I 0.2957 0.5000 0.4087
```

---

# 6
This record from Alexandria via LeMat-Bulk describes crystalline Rb8AuI6 at its relaxed geometry. The functional is GGA-PBE.

- Formation energy from raw total energies: -1.1198 eV per atom

Geometry as CIF:
```
data_Rb8AuI6
_cell_length_a 5.4798
_cell_length_b 13.1199
_cell_length_c 13.1199
_cell_angle_alpha 120.00
_cell_angle_beta 90.00
_cell_angle_gamma 90.00
_space_group_name_H-M_alt 'P 1'
_space_group_IT_number 1
_space_group_name_Hall 'P 1'
loop_
_atom_site_label
_atom_site_type_symbol
_atom_site_fract_x
_atom_site_fract_y
_atom_site_fract_z
Rb1 Rb 0.7371 0.9711 0.2692
Rb2 Rb 0.7371 0.7308 0.7019
Rb3 Rb 0.7371 0.2981 0.0289
Rb4 Rb 0.2629 0.0289 0.7308
Rb5 Rb 0.2629 0.2692 0.2981
Rb6 Rb 0.2629 0.7019 0.9711
Rb7 Rb 0.7428 0.3333 0.6667
Rb8 Rb 0.2572 0.6667 0.3333
Au1 Au 0.5000 0.0000 0.0000
I1 I 0.7595 0.6568 0.1249
I2 I 0.7595 0.8751 0.5320
I3 I 0.7595 0.4680 0.3432
I4 I 0.2405 0.3432 0.8751
I5 I 0.2405 0.1249 0.4680
I6 I 0.2405 0.5320 0.6568
```